First-principles (PBE) data for a relaxed Sr2InSnCl crystal, as listed in Alexandria.

## Properties
- Magnetic moment: 1.5 μB per formula unit
- Formation energy (no corrections): -0.119 eV per atom
- Energy: -2.509 eV per atom

Unit cell a=6.445 b=6.445 c=5.301 alpha=90.00 beta=90.00 gamma=90.00
Space group P4/mmm (No. 123)
Symmetry-distinct sites (fractional):
Sr (0.000, 0.500, 0.000) x2
In (0.000, 0.000, 0.000) x1
Sn (0.500, 0.500, 0.500) x1
Cl (0.000, 0.000, 0.500) x1